{
  "formula": "NaVRhO5",
  "functional": "PBE with a Hubbard U",
  "state": "optimized geometry",
  "e_tot_ev_per_atom": -6.5610,
  "magnetic_moment_mub_per_fu": 0.31,
  "space_group": "C2/c, No. 15",
  "lattice": [[3.4203, -4.5347, 0.0000], [3.4203, 4.5347, 0.0000], [-2.9071, 0.0000, 6.5982]],
  "species": ["Na", "Na", "V", "V", "Rh", "Rh", "O", "O", "O", "O", "O", "O", "O", "O", "O", "O"],
  "frac_coords": [[0.1686, 0.8314, 0.7500], [0.8314, 0.1686, 0.2500], [0.1827, 0.8173, 0.2500], [0.8173, 0.1827, 0.7500], [0.5000, 0.5000, 0.0000], [0.5000, 0.5000, 0.5000], [0.1281, 0.2585, 0.9190], [0.1903, 0.5975, 0.3816], [0.2585, 0.1281, 0.4190], [0.4025, 0.8097, 0.1184], [0.4245, 0.5755, 0.7500], [0.5755, 0.4245, 0.2500], [0.5975, 0.1903, 0.8816], [0.7415, 0.8719, 0.5810], [0.8097, 0.4025, 0.6184], [0.8719, 0.7415, 0.0810]]
}